# PmGaAgAs (GGA-PBE, relaxed)
data_PmGaAgAs
_cell_length_a 7.1017
_cell_length_b 7.1017
_cell_length_c 7.1017
_cell_angle_alpha 90.00
_cell_angle_beta 90.00
_cell_angle_gamma 90.00
_space_group_name_H-M_alt 'F -4 3 m'
_space_group_IT_number 216
_space_group_name_Hall 'F -4 2 3'
loop_
_atom_site_label
_atom_site_type_symbol
_atom_site_fract_x
_atom_site_fract_y
_atom_site_fract_z
Pm1 Pm 0.0000 0.0000 0.0000
Ga1 Ga 0.0000 0.0000 0.5000
Ag1 Ag 0.2500 0.2500 0.2500
As1 As 0.2500 0.2500 0.7500
# - Electronic total energy: -66.9 eV for the cell shown
# - ΔH_f (0 K): -1.45 eV/f.u.

***

# PrNdAu2 (GGA-PBE, relaxed)
data_PrNdAu2
_cell_length_a 3.9214
_cell_length_b 4.8064
_cell_length_c 6.0225
_cell_angle_alpha 90.00
_cell_angle_beta 109.10
_cell_angle_gamma 90.00
_space_group_name_H-M_alt 'P 1 m 1'
_space_group_IT_number 6
loop_
_space_group_symop_operation_xyz
'x,y,z'
'x,-y,z'
loop_
_atom_site_label
_atom_site_type_symbol
_atom_site_fract_x
_atom_site_fract_y
_atom_site_fract_z
Pr1 Pr 0.0000 0.0000 0.0000
Nd1 Nd 0.2766 0.5000 0.5497
Au1 Au 0.5527 0.5000 0.1040
Au2 Au 0.7251 0.0000 0.4481
# - Electronic total energy: -19.3 eV for the cell shown
# - ΔH_f (0 K): -3.18 eV/f.u.

***

# HfZr3Zn4 (GGA-PBE, relaxed)
data_HfZr3Zn4
_cell_length_a 3.3301
_cell_length_b 3.3301
_cell_length_c 13.3485
_cell_angle_alpha 90.00
_cell_angle_beta 90.00
_cell_angle_gamma 90.00
_space_group_name_H-M_alt 'P 4/m m m'
_space_group_IT_number 123
_space_group_name_Hall '-P 4 2'
loop_
_atom_site_label
_atom_site_type_symbol
_atom_site_fract_x
_atom_site_fract_y
_atom_site_fract_z
Hf1 Hf 0.0000 0.0000 0.0000
Zr1 Zr 0.0000 0.0000 0.2484
Zr2 Zr 0.0000 0.0000 0.5000
Zn1 Zn 0.5000 0.5000 0.1210
Zn2 Zn 0.5000 0.5000 0.3743
# - Electronic total energy: -42.8 eV for the cell shown
# - ΔH_f (0 K): -2.07 eV/f.u.

***

# TmIrPb2O6 (GGA-PBE, relaxed)
data_TmIrPb2O6
_cell_length_a 5.8300
_cell_length_b 5.8345
_cell_length_c 10.0587
_cell_angle_alpha 90.00
_cell_angle_beta 125.14
_cell_angle_gamma 90.00
_space_group_name_H-M_alt 'P 1 21/c 1'
_space_group_IT_number 14
loop_
_space_group_symop_operation_xyz
'x,y,z'
'-x,-y,-z'
'-x,y+1/2,-z+1/2'
'x,-y+1/2,z+1/2'
loop_
_atom_site_label
_atom_site_type_symbol
_atom_site_fract_x
_atom_site_fract_y
_atom_site_fract_z
Tm1 Tm 0.0000 0.0000 0.0000
Ir1 Ir 0.5000 0.0000 0.5000
Pb1 Pb 0.2608 0.0256 0.7519
O1 O 0.1910 0.0140 0.2645
O2 O 0.2756 0.7073 0.0410
O3 O 0.3367 0.2309 0.0391
# - Electronic total energy: -132.9 eV for the cell shown

***

# LiHoSi2Pd2 (GGA-PBE, relaxed)
data_LiHoSi2Pd2
_cell_length_a 4.1910
_cell_length_b 4.1910
_cell_length_c 6.5417
_cell_angle_alpha 90.00
_cell_angle_beta 90.00
_cell_angle_gamma 120.00
_space_group_name_H-M_alt 'P -3 m 1'
_space_group_IT_number 164
_space_group_name_Hall '-P 3 2"'
loop_
_atom_site_label
_atom_site_type_symbol
_atom_site_fract_x
_atom_site_fract_y
_atom_site_fract_z
Li1 Li 0.0000 0.0000 0.0000
Ho1 Ho 0.0000 0.0000 0.5000
Si1 Si 0.3333 0.6667 0.7761
Pd1 Pd 0.3333 0.6667 0.1618
# - Electronic total energy: -32.5 eV for the cell shown

***

# Pm3Nd4Ni4 (GGA-PBE, relaxed)
data_Pm3Nd4Ni4
_cell_length_a 4.7549
_cell_length_b 7.5459
_cell_length_c 15.2538
_cell_angle_alpha 90.00
_cell_angle_beta 90.00
_cell_angle_gamma 90.00
_space_group_name_H-M_alt 'I m m m'
_space_group_IT_number 71
_space_group_name_Hall '-I 2 2'
loop_
_atom_site_label
_atom_site_type_symbol
_atom_site_fract_x
_atom_site_fract_y
_atom_site_fract_z
Pm1 Pm 0.0000 0.0000 0.0000
Pm2 Pm 0.0000 0.5000 0.1009
Nd1 Nd 0.0000 0.2803 0.3324
Ni1 Ni 0.0000 0.0000 0.2029
Ni2 Ni 0.0000 0.1600 0.5000
# - Electronic total energy: -116.0 eV for the cell shown
# - ΔH_f (0 K): -1.57 eV/f.u.